YCoAgSn: optimized geometry, GGA-PBE.

a = 4.7737 Å, b = 4.7737 Å, c = 4.7737 Å
α = 60.00°, β = 60.00°, γ = 60.00°
Fractional positions:
Y: 0.0000 0.0000 0.0000
Co: 0.7500 0.7500 0.7500
Ag: 0.2500 0.2500 0.2500
Sn: 0.5000 0.5000 0.5000

Values from the calculation:
Energy above the most stable polymorph in this dataset = 0 meV/atom
Total magnetic moment = 1.03 μB/cell

=====

ZnCoAgSn: optimized geometry, GGA-PBE.

a = 4.5039 Å, b = 4.5039 Å, c = 4.5039 Å
α = 60.00°, β = 60.00°, γ = 60.00°
Fractional positions:
Zn: 0.0000 0.0000 0.0000
Co: 0.7500 0.7500 0.7500
Ag: 0.2500 0.2500 0.2500
Sn: 0.5000 0.5000 0.5000

Values from the calculation:
Energy above the most stable polymorph in this dataset = 0 meV/atom
Total magnetic moment = 0.37 μB/cell